Record 1
A plane-wave DFT calculation with PBE was carried out for a relaxed Tb3As2S crystal.

Geometry as POSCAR:
```
Tb3As2S
1.0
-2.041 2.879 6.097
2.041 -2.879 6.097
2.041 2.879 -6.097
As S Tb
2 1 3
direct
0.333 0.333 0.000
0.667 0.667 0.000
0.000 0.000 0.000
0.500 0.000 0.500
0.834 0.334 0.500
0.166 0.666 0.500
```

Energy relative to the lowest polymorph listed for this composition (meV per atom): 0
M_tot (μB per atom): 0.0005
SG: Immm, No. 71
Volume (Å³/cell): 143.3
Density (g cm⁻³): 7.63

Record 2
A plane-wave DFT calculation with PBE was carried out for a relaxed Zr2TeAs2S crystal.

Geometry as POSCAR:
```
Zr2TeAs2S
1.0
6.475 -1.129 3.202
1.713 1.067 7.028
-4.049 -3.214 -5.171
As S Te Zr
2 1 1 2
direct
0.260 0.999 0.260
0.739 0.999 0.740
0.715 0.715 0.000
0.294 0.294 0.000
0.869 0.369 0.500
0.124 0.624 0.500
```

M_tot (μB per atom): 0.0017
SG: Imm2, No. 44
Volume (Å³/cell): 128.8
Density (g cm⁻³): 6.34

Record 3
A plane-wave DFT calculation with PBE was carried out for a relaxed Th2AsS crystal.

Geometry as POSCAR:
```
Th2AsS
1.0
6.816 -2.088 0.000
6.816 2.088 0.000
-1.243 0.000 7.088
As S Th
2 2 4
direct
0.750 0.250 0.250
0.250 0.750 0.750
0.000 0.500 0.000
0.500 0.000 0.500
0.381 0.880 0.127
0.120 0.619 0.373
0.880 0.381 0.627
0.619 0.120 0.873
```

M_tot (μB per atom): 0.0003
SG: C2/m, No. 12
Volume (Å³/cell): 201.8
Density (g cm⁻³): 9.40

Record 4
A plane-wave DFT calculation with PBE was carried out for a relaxed ThAsS crystal.

Geometry as POSCAR:
```
ThAsS
1.0
-2.015 2.015 8.287
2.015 -2.015 8.287
2.015 2.015 -8.287
As S Th
2 2 2
direct
0.500 0.000 0.500
0.000 0.500 0.500
0.185 0.185 0.000
0.815 0.815 0.000
0.361 0.361 0.000
0.639 0.639 0.000
```

M_tot (μB per atom): 0.0017
SG: I4/mmm, No. 139
Volume (Å³/cell): 134.6
Density (g cm⁻³): 8.36

These records have total DFT energy (no corrections) values of -0.4622, -0.4837, -0.5530, -0.5102 Ry per atom, in the order they appear.